A relaxed AcMgBeGe2 crystal, computed with PBE-GGA.

Results
Magnetic moment: 0.00 μB/f.u.
Theoretical density: 6.37 g/cm3
Formation energy from the elements: -1.7 eV per formula unit

Cell and atoms, written as extended XYZ:
```
5
Lattice="4.313 0.000 0.000 0.000 4.313 0.000 -2.156 -2.156 5.688" Properties=species:S:1:pos:R:3 pbc="T T T"
Be 0.000 2.156 2.844
Ge 2.156 2.156 1.379
Ge 0.000 0.000 4.309
Mg 2.156 0.000 2.844
Ac 0.000 0.000 0.000
```

A relaxed Ac2MnBeGe6 crystal, computed with PBE-GGA.

Results
Magnetic moment: 2.21 μB/f.u.
Theoretical density: 7.20 g/cm3
Formation energy from the elements: -2.1 eV per formula unit

Cell and atoms, written as extended XYZ:
```
20
Lattice="-2.930 1.841 6.392 -7.184 0.949 0.567 -4.427 -8.372 4.515" Properties=species:S:1:pos:R:3 pbc="T T T"
Ge -5.926 -6.610 5.340
Ge -4.942 0.543 5.844
Ge -5.592 -4.130 6.892
Ge -8.615 1.028 6.134
Ge -7.424 -5.669 8.609
Ge -5.502 -1.907 4.310
Ge -9.039 -3.675 7.164
Ge -9.599 -6.125 5.630
Ge -6.908 -1.024 7.378
Ge -7.633 -4.558 4.097
Ge -7.117 0.087 2.866
Ge -8.949 -1.452 4.582
Mn -7.271 -2.791 5.737
Mn 0.000 0.000 0.000
Ac -10.529 -0.864 7.822
Ac -4.012 -4.718 3.653
Ac -11.043 -5.395 8.891
Ac -3.498 -0.186 2.583
Be -6.976 -0.199 5.125
Be -7.565 -5.383 6.349
```

A relaxed Ac2BeNi6Ge crystal, computed with PBE-GGA.

Results
Magnetic moment: 0.00 μB/f.u.
Theoretical density: 8.65 g/cm3
Formation energy from the elements: -3.3 eV per formula unit

Cell and atoms, written as extended XYZ:
```
10
Lattice="-3.743 -2.958 -4.305 4.839 0.507 -3.838 3.610 -4.345 -2.530" Properties=species:S:1:pos:R:3 pbc="T T T"
Be 0.548 -1.226 -4.071
Ni 2.110 -2.793 -3.559
Ni 2.012 -6.312 -6.490
Ni 2.596 -4.003 -7.114
Ni 1.887 -2.031 -5.811
Ni 2.818 -4.765 -4.862
Ni 2.693 -0.484 -4.183
Ac -0.170 -4.173 -5.470
Ac 4.876 -2.623 -5.203
Ge 0.000 0.000 0.000
```

A relaxed Ac2BeNi3Ge4 crystal, computed with PBE-GGA.

Results
Magnetic moment: 0.00 μB/f.u.
Theoretical density: 8.45 g/cm3
Formation energy from the elements: -5.7 eV per formula unit

Cell and atoms, written as extended XYZ:
```
10
Lattice="4.275 0.000 0.000 0.000 4.275 0.000 0.000 0.000 9.999" Properties=species:S:1:pos:R:3 pbc="T T T"
Ge 0.000 0.000 0.000
Ge 2.138 2.138 0.000
Ge 2.138 0.000 6.228
Ge 0.000 2.138 3.771
Ac 0.000 2.138 7.468
Ac 2.138 0.000 2.531
Ni 0.000 0.000 4.999
Ni 2.138 0.000 8.773
Ni 0.000 2.138 1.226
Be 2.138 2.138 4.999
```

A relaxed AcBe2GeO6 crystal, computed with PBE-GGA.

Results
Magnetic moment: 1.01 μB/f.u.
Formation energy (no corrections): -2299 meV/atom
Theoretical density: 5.03 g/cm3

Cell and atoms, written as extended XYZ:
```
20
Lattice="7.086 0.401 0.416 2.744 6.361 0.421 2.744 0.185 6.372" Properties=species:S:1:pos:R:3 pbc="T T T"
Ge 8.059 5.314 2.032
Ge 4.516 1.633 5.177
Be 2.254 2.185 1.605
Be 10.321 4.762 5.604
Be 6.778 5.223 4.758
Be 5.797 1.724 2.451
O 9.897 5.565 6.874
O 6.221 0.484 1.601
O 2.678 1.382 0.335
O 10.308 3.212 5.584
O 7.361 4.043 5.515
O 2.267 3.735 1.625
O 6.354 6.463 5.608
O 6.765 5.260 3.209
O 5.810 1.686 4.000
O 8.757 1.785 3.173
O 3.818 5.161 4.036
O 5.214 2.904 1.694
Ac 4.516 5.230 1.711
Ac 8.059 1.717 5.498
```

A relaxed Ac2Be4Ge3Pd crystal, computed with PBE-GGA.

Results
Magnetic moment: 0.00 μB/f.u.
Theoretical density: 7.60 g/cm3
Formation energy from the elements: -4.0 eV per formula unit

Cell and atoms, written as extended XYZ:
```
10
Lattice="-0.585 1.393 -3.936 2.413 -3.131 -1.467 -8.085 -5.827 -0.861" Properties=species:S:1:pos:R:3 pbc="T T T"
Ge -4.043 -2.914 -0.430
Ge -7.367 -4.402 -2.721
Ge 0.196 -2.294 -0.841
Pd -3.129 -3.783 -3.132
Ac -2.281 -0.737 -2.180
Ac -4.890 -5.960 -1.383
Be -5.304 -2.915 -2.502
Be -1.867 -3.781 -1.061
Be 0.000 0.000 0.000
Be 0.914 -0.869 -2.702
```

A relaxed Ac2BeGe3Pd4 crystal, computed with PBE-GGA.

Results
Magnetic moment: 0.00 μB/f.u.
Theoretical density: 9.18 g/cm3
Formation energy from the elements: -7.4 eV per formula unit

Cell and atoms, written as extended XYZ:
```
10
Lattice="4.426 0.000 0.000 0.000 4.426 0.000 0.000 0.000 10.224" Properties=species:S:1:pos:R:3 pbc="T T T"
Ac 0.000 2.213 7.599
Ac 2.213 0.000 2.625
Ge 0.000 2.213 1.324
Ge 0.000 0.000 5.112
Ge 2.213 0.000 8.901
Pd 0.000 2.213 3.928
Pd 0.000 0.000 0.000
Pd 2.213 2.213 0.000
Pd 2.213 0.000 6.296
Be 2.213 2.213 5.112
```

A relaxed Ac2Be3Ge4Pd crystal, computed with PBE-GGA.

Results
Magnetic moment: 0.00 μB/f.u.
Theoretical density: 7.74 g/cm3
Formation energy from the elements: -4.4 eV per formula unit

Cell and atoms, written as extended XYZ:
```
10
Lattice="4.351 0.000 0.000 0.000 4.351 0.000 0.000 0.000 9.947" Properties=species:S:1:pos:R:3 pbc="T T T"
Ge 2.175 0.000 6.308
Ge 0.000 0.000 0.000
Ge 0.000 2.175 3.638
Ge 2.175 2.175 0.000
Ac 2.175 0.000 2.477
Ac 0.000 2.175 7.470
Be 2.175 0.000 8.735
Be 0.000 2.175 1.212
Be 0.000 0.000 4.973
Pd 2.175 2.175 4.973
```